NaMn2Cu2 after structural relaxation. Source: Alexandria, functional PBE.

Cell lengths 7.5777, 7.5777, 2.4075 Å; angles 90.00, 90.00, 90.00 degrees
Closest atoms and distances in Å follow each position.
Space group P4/mbm (No. 127)
Unique sites:
1 Na 0.0000 0.0000 0.0000 x2  2 Na 2.41
2 Mn 0.0951 0.4049 0.0000 x4  1 Mn 2.04
3 Cu 0.1934 0.6934 0.5000 x4  2 Cu 2.41, 6 Mn 2.57-2.60

For the energy above the most stable polymorph in this dataset, the calculation gives 0 meV per atom.



RbYBeSe3 after structural relaxation. Source: Alexandria, functional PBE.

Cell lengths 9.5876, 4.0326, 9.6914 Å; angles 90.00, 110.43, 90.00 degrees
Closest atoms and distances in Å follow each position.
Space group P2_1/m (No. 11)
Unique sites:
1 Rb 0.2060 0.2500 0.2366 x2  7 Se 3.46-3.61
2 Y 0.3319 0.7500 0.8544 x2  6 Se 2.84-2.97
3 Be 0.0767 0.2500 0.6042 x2  4 Se 2.21-2.41
4 Se 0.1162 0.2500 0.8431 x2  1 Be 2.21
5 Se 0.1696 0.7500 0.5316 x2  3 Be 2.27-2.41
6 Se 0.4668 0.7500 0.1665 x2  3 Y 2.84-2.85

As for the raw formation energy: -1404 meV per atom.



BaSr4Hg after structural relaxation. Source: Alexandria, functional PBE.

Cell lengths 5.5476, 5.5476, 10.9354 Å; angles 90.00, 90.00, 90.00 degrees
Closest atoms and distances in Å follow each position.
Space group P4/mmm (No. 123)
Unique sites:
1 Ba 0.0000 0.0000 0.0000 x1  8 Sr 4.47
2 Sr 0.0000 0.5000 0.3200 x4  2 Hg 3.40
3 Hg 0.5000 0.5000 0.5000 x1  8 Sr 3.40

For the energy above the most stable polymorph in this dataset, the calculation gives 192 meV per atom.



Cr2ReHg after structural relaxation. Source: Alexandria, functional PBE.

Cell lengths 3.0990, 4.4508, 8.7483 Å; angles 90.00, 90.00, 90.00 degrees
Closest atoms and distances in Å follow each position.
Space group Cmmm (No. 65)
Unique sites:
1 Cr 0.0000 0.0000 0.2254 x4  2 Re 2.51, 4 Cr 2.71
2 Re 0.0000 0.5000 0.0000 x2  4 Cr 2.51, 4 Re 2.71
3 Hg 0.0000 0.5000 0.5000 x2  4 Hg 2.71, 4 Cr 2.86



| no. | total energy (eV/atom) | ρ (g/cm3) |
| --- | --- | --- |
| 1 | -5.116 | 6.2 |
| 2 | -5.006 | 4.0 |
| 3 | -1.471 | 3.4 |
| 4 | -7.498 | 13.5 |